Entry 1:
Density functional theory data (PBE) for a relaxed La2HfSn2 crystal.

Results
Energy of formation   -0.528 eV per atom

Cell lengths 7.9309, 7.9309, 4.7142 Å; angles 90.00, 90.00, 90.00 degrees
With the nearest neighbours (Å) after each atom.
Fractional positions:
La1 0.8311 0.3311 0.5000  6 Sn 3.19-3.40
La2 0.6689 0.8311 0.5000  6 Sn 3.19-3.40
La3 0.1689 0.6689 0.5000  6 Sn 3.19-3.40
La4 0.3311 0.1689 0.5000  6 Sn 3.19-3.40
Hf1 0.5000 0.5000 0.0000  4 Sn 3.07
Hf2 0.0000 0.0000 0.0000  4 Sn 3.07
Sn1 0.6394 0.1394 0.0000  2 Hf 3.07, 1 Sn 3.13, 6 La 3.19-3.40
Sn2 0.3606 0.8606 0.0000  2 Hf 3.07, 1 Sn 3.13, 6 La 3.19-3.40
Sn3 0.1394 0.3606 0.0000  2 Hf 3.07, 1 Sn 3.13, 6 La 3.19-3.40
Sn4 0.8606 0.6394 0.0000  2 Hf 3.07, 1 Sn 3.13, 6 La 3.19-3.40

=====

Entry 2:
Density functional theory data (PBE) for a relaxed LaHf3Sn crystal.

Results
Distance to the lowest polymorph of the same formula   632 meV per atom
Energy of formation   1.417 eV per atom

Cell lengths 5.1443, 5.1443, 5.1443 Å; angles 90.00, 90.00, 90.00 degrees
With the nearest neighbours (Å) after each atom.
Fractional positions:
Hf1 0.5000 0.0000 0.0000  2 La 2.57
Hf2 0.0000 0.0000 0.5000  2 La 2.57
Hf3 0.0000 0.5000 0.0000  2 La 2.57
Sn1 0.5000 0.5000 0.5000  12 Hf 3.64
La1 0.0000 0.0000 0.0000  6 Hf 2.57

=====

Entry 3:
Density functional theory data (PBE) for a relaxed LaHf3Sn crystal.

Results
Distance to the lowest polymorph of the same formula   0 meV per atom
Energy of formation   0.785 eV per atom

Cell lengths 5.3697, 5.3697, 5.3697 Å; angles 90.00, 90.00, 90.00 degrees
With the nearest neighbours (Å) after each atom.
Fractional positions:
Sn1 0.0000 0.0000 0.0000  6 Hf 2.68
La1 0.5000 0.5000 0.5000  12 Hf 3.80
Hf1 0.0000 0.0000 0.5000  2 Sn 2.68
Hf2 0.0000 0.5000 0.0000  2 Sn 2.68
Hf3 0.5000 0.0000 0.0000  2 Sn 2.68

=====

Entry 4:
Density functional theory data (PBE) for a relaxed La2Hf2Sn crystal.

Results
Distance to the lowest polymorph of the same formula   470 meV per atom
Energy of formation   0.405 eV per atom

Cell lengths 8.2783, 8.2783, 4.1622 Å; angles 90.00, 90.00, 90.00 degrees
With the nearest neighbours (Å) after each atom.
Fractional positions:
La1 0.1370 0.3630 0.0000  6 Hf 3.05-3.31, 1 La 3.21, 2 Sn 3.21
La2 0.8630 0.6370 0.0000  6 Hf 3.05-3.31, 1 La 3.21, 2 Sn 3.21
La3 0.6370 0.1370 0.0000  6 Hf 3.05-3.31, 1 La 3.21, 2 Sn 3.21
La4 0.3630 0.8630 0.0000  6 Hf 3.05-3.31, 1 La 3.21, 2 Sn 3.21
Hf1 0.6726 0.8274 0.5000  6 La 3.05-3.31
Hf2 0.1726 0.6726 0.5000  6 La 3.05-3.31
Hf3 0.3274 0.1726 0.5000  6 La 3.05-3.31
Hf4 0.8274 0.3274 0.5000  6 La 3.05-3.31
Sn1 0.0000 0.0000 0.0000  4 La 3.21
Sn2 0.5000 0.5000 0.0000  4 La 3.21

=====

Entry 5:
Density functional theory data (PBE) for a relaxed LaHfSn2 crystal.

Results
Distance to the lowest polymorph of the same formula   0 meV per atom
Energy of formation   -0.428 eV per atom

Cell lengths 3.9190, 3.9190, 6.8082 Å; angles 90.00, 90.00, 90.00 degrees
With the nearest neighbours (Å) after each atom.
Fractional positions:
La1 0.5000 0.5000 0.5000  8 Sn 3.39, 2 Hf 3.40
Hf1 0.5000 0.5000 0.0000  8 Sn 3.13, 2 La 3.40
Sn1 0.0000 0.0000 0.7868  1 Sn 2.90, 4 Hf 3.13
Sn2 0.0000 0.0000 0.2132  1 Sn 2.90, 4 Hf 3.13